Record 1
An optimized crystal structure of Zr2CuMoSe. Source: Alexandria via LeMat-Bulk, functional PBE.

Cell: 5.0123 5.0123 4.2467 Å, 90.00 90.00 90.00°
Closest atoms and distances in Å follow each position.
Positions (direct):
Zr: 0.0000 0.5000 0.0000  2 Se 2.51
Zr: 0.5000 0.0000 0.0000  2 Se 2.51
Cu: 0.0000 0.0000 0.5000  2 Se 2.12
Mo: 0.5000 0.5000 0.5000  8 Zr 3.28, 4 Cu 3.54
Se: 0.0000 0.0000 0.0000  2 Cu 2.12

Output
Total magnetization   0.96 μB per formula unit
E_tot   -6.62 eV/atom
Raw formation energy   483.3 meV per atom

***

Record 2
An optimized crystal structure of CuTeP. Source: Alexandria via LeMat-Bulk, functional PBE.

Cell: 4.4656 4.4656 6.8276 Å, 90.00 90.00 120.00°
Closest atoms and distances in Å follow each position.
Positions (direct):
Cu: 0.3333 0.6667 0.2500  3 Te 2.58
Cu: 0.6667 0.3333 0.7500  3 Te 2.58
Te: 0.3333 0.6667 0.7500  3 Cu 2.58
Te: 0.6667 0.3333 0.2500  3 Cu 2.58
P: 0.0000 0.0000 0.0000  6 Te 3.09, 6 Cu 3.09, 2 P 3.41
P: 0.0000 0.0000 0.5000  6 Te 3.09, 6 Cu 3.09, 2 P 3.41

Output
Total magnetization   0.00 μB per formula unit
E_tot   -3.58 eV/atom
Raw formation energy   639.3 meV per atom
Distance to the lowest polymorph of the same formula   464 meV per atom

***

Record 3
An optimized crystal structure of ThZnGeIr3. Source: Alexandria via LeMat-Bulk, functional PBE.

Cell: 6.7668 6.7668 5.8452 Å, 90.00 90.00 123.26°
Closest atoms and distances in Å follow each position.
Positions (direct):
Th: 0.1963 0.8037 0.7500  1 Zn 2.93, 2 Ge 3.02, 6 Ir 3.07-3.23
Th: 0.8037 0.1963 0.2500  1 Zn 2.93, 2 Ge 3.02, 6 Ir 3.07-3.23
Zn: 0.4420 0.5580 0.7500  5 Ir 2.46-2.69
Zn: 0.5580 0.4420 0.2500  5 Ir 2.46-2.69
Ge: 0.1317 0.8683 0.2500  5 Ir 2.39-2.54
Ge: 0.8683 0.1317 0.7500  5 Ir 2.39-2.54
Ir: 0.2110 0.2110 0.0000  2 Zn 2.46, 2 Ge 2.54, 1 Ir 2.71
Ir: 0.2110 0.2110 0.5000  2 Zn 2.46, 2 Ge 2.54, 1 Ir 2.71
Ir: 0.3320 0.6680 0.2500  1 Ge 2.39
Ir: 0.6680 0.3320 0.7500  1 Ge 2.39
Ir: 0.7890 0.7890 0.0000  2 Zn 2.46, 2 Ge 2.54, 1 Ir 2.71
Ir: 0.7890 0.7890 0.5000  2 Zn 2.46, 2 Ge 2.54, 1 Ir 2.71

Output
Total magnetization   0.00 μB per formula unit
E_tot   -6.97 eV/atom

***

Record 4
An optimized crystal structure of ZrNi8B4. Source: Alexandria via LeMat-Bulk, functional PBE.

Cell: 5.7812 5.7812 5.7812 Å, 98.46 98.46 134.90°
Closest atoms and distances in Å follow each position.
Positions (direct):
Zr: 0.0000 0.0000 0.0000  12 Ni 2.57-2.79
Ni: 0.0000 0.3402 0.3402  4 B 2.29, 5 Ni 2.39-2.41
Ni: 0.0000 0.6598 0.6598  4 B 2.29, 5 Ni 2.39-2.41
Ni: 0.2764 0.5000 0.7764  4 B 2.20, 6 Ni 2.39-2.41
Ni: 0.3402 0.0000 0.3402  4 B 2.29, 5 Ni 2.39-2.41
Ni: 0.5000 0.2764 0.7764  4 B 2.20, 6 Ni 2.39-2.41
Ni: 0.5000 0.7236 0.2236  4 B 2.20, 6 Ni 2.39-2.41
Ni: 0.6598 0.0000 0.6598  4 B 2.29, 5 Ni 2.39-2.41
Ni: 0.7236 0.5000 0.2236  4 B 2.20, 6 Ni 2.39-2.41
B: 0.0000 0.0000 0.5000  8 Ni 2.20-2.29, 2 B 2.22
B: 0.0000 0.5000 0.0000  8 Ni 2.20-2.29, 2 B 2.22
B: 0.5000 0.0000 0.0000  8 Ni 2.20-2.29, 2 B 2.22
B: 0.5000 0.5000 0.5000  8 Ni 2.20-2.29, 2 B 2.22

Output
Total magnetization   0.00 μB per formula unit
E_tot   -6.48 eV/atom

***

Record 5
An optimized crystal structure of Tl4CuF5. Source: Alexandria via LeMat-Bulk, functional PBE.

Cell: 7.3193 7.3193 7.3193 Å, 94.63 94.63 147.00°
Closest atoms and distances in Å follow each position.
Positions (direct):
Tl: 0.0719 0.7258 0.7977  4 F 2.59-2.81
Tl: 0.2742 0.0719 0.3461  4 F 2.59-2.81
Tl: 0.7258 0.9281 0.6539  4 F 2.59-2.81
Tl: 0.9281 0.2742 0.2023  4 F 2.59-2.81
Cu: 0.5000 0.5000 0.0000  6 F 2.08-2.33
F: 0.0000 0.0000 0.0000  2 Cu 2.08
F: 0.3261 0.6573 0.9834  1 Cu 2.33, 2 Tl 2.59
F: 0.3427 0.3261 0.6688  1 Cu 2.33, 2 Tl 2.59
F: 0.6573 0.6739 0.3312  1 Cu 2.33, 2 Tl 2.59
F: 0.6739 0.3427 0.0166  1 Cu 2.33, 2 Tl 2.59

Output
Total magnetization   0.06 μB per formula unit
E_tot   -3.85 eV/atom
Raw formation energy   -1556.7 meV per atom

***

Record 6
An optimized crystal structure of TbPm5Y2Sc. Source: Alexandria via LeMat-Bulk, functional PBE.

Cell: 11.2928 11.2928 10.1825 Å, 90.00 90.00 152.50°
Closest atoms and distances in Å follow each position.
Positions (direct):
Tb: 0.1011 0.8989 0.7500  6 Pm 3.25-3.50
Tb: 0.8989 0.1011 0.2500  6 Pm 3.25-3.50
Pm: 0.0000 0.0000 0.0000  2 Tb 3.38, 6 Pm 3.70-3.75, 4 Y 3.70
Pm: 0.0000 0.0000 0.5000  2 Tb 3.38, 6 Pm 3.70-3.75, 4 Y 3.70
Pm: 0.1255 0.8745 0.2500  1 Sc 3.48, 4 Y 3.71, 6 Pm 3.75-3.83
Pm: 0.2212 0.7788 0.5626  2 Pm 3.23, 1 Tb 3.25, 3 Sc 3.30-3.47, 2 Y 3.59
Pm: 0.2212 0.7788 0.9374  2 Pm 3.23, 1 Tb 3.25, 3 Sc 3.30-3.47, 2 Y 3.59
Pm: 0.4989 0.5011 0.7500  2 Tb 3.50, 4 Y 3.59-3.62, 6 Pm 3.70-3.83
Pm: 0.5011 0.4989 0.2500  2 Tb 3.50, 4 Y 3.59-3.62, 6 Pm 3.70-3.83
Pm: 0.7788 0.2212 0.0626  2 Pm 3.23, 1 Tb 3.25, 3 Sc 3.30-3.47, 2 Y 3.59
Pm: 0.7788 0.2212 0.4374  2 Pm 3.23, 1 Tb 3.25, 3 Sc 3.30-3.47, 2 Y 3.59
Pm: 0.8745 0.1255 0.7500  1 Sc 3.48, 4 Y 3.71, 6 Pm 3.75-3.83
Y: 0.3837 0.6163 0.0008  1 Sc 3.35, 9 Pm 3.59-3.71, 2 Tb 3.71
Y: 0.3837 0.6163 0.4992  1 Sc 3.35, 9 Pm 3.59-3.71, 2 Tb 3.71
Y: 0.6163 0.3837 0.5008  1 Sc 3.35, 9 Pm 3.59-3.71, 2 Tb 3.71
Y: 0.6163 0.3837 0.9992  1 Sc 3.35, 9 Pm 3.59-3.71, 2 Tb 3.71
Sc: 0.2842 0.7158 0.2500  7 Pm 3.30-3.48, 2 Y 3.35, 2 Tb 3.68
Sc: 0.7158 0.2842 0.7500  7 Pm 3.30-3.48, 2 Y 3.35, 2 Tb 3.68

Output
Total magnetization   0.00 μB per formula unit
E_tot   -5.17 eV/atom

***

Record 7
An optimized crystal structure of YCuNi4. Source: Alexandria via LeMat-Bulk, functional PBE.

Cell: 7.6335 7.6335 5.9915 Å, 90.00 90.00 151.28°
Closest atoms and distances in Å follow each position.
Positions (direct):
Y: 0.1106 0.8894 0.7500  11 Ni 2.73-3.04, 2 Cu 2.96
Y: 0.8894 0.1106 0.2500  11 Ni 2.73-3.04, 2 Cu 2.96
Cu: 0.2353 0.7647 0.2500  7 Ni 2.37-2.44
Cu: 0.7647 0.2353 0.7500  7 Ni 2.37-2.44
Ni: 0.0740 0.9260 0.2500  1 Cu 2.39, 8 Ni 2.59-2.65
Ni: 0.3349 0.6651 0.5599  2 Ni 2.28-2.47, 3 Cu 2.37-2.44
Ni: 0.3349 0.6651 0.9401  2 Ni 2.28-2.47, 3 Cu 2.37-2.44
Ni: 0.5000 0.5000 0.0000  6 Ni 2.47-2.65
Ni: 0.5000 0.5000 0.5000  6 Ni 2.47-2.65
Ni: 0.6651 0.3349 0.0599  2 Ni 2.28-2.47, 3 Cu 2.37-2.44
Ni: 0.6651 0.3349 0.4401  2 Ni 2.28-2.47, 3 Cu 2.37-2.44
Ni: 0.9260 0.0740 0.7500  1 Cu 2.39, 8 Ni 2.59-2.65

Output
Total magnetization   0.04 μB per formula unit
E_tot   -5.71 eV/atom
Distance to the lowest polymorph of the same formula   168 meV per atom

***

Record 8
An optimized crystal structure of ThIn2Ge. Source: Alexandria via LeMat-Bulk, functional PBE.

Cell: 11.2634 11.2634 11.2634 Å, 17.41 17.41 17.41°
Closest atoms and distances in Å follow each position.
Positions (direct):
Th: 0.0000 0.0000 0.0000  2 In 3.26, 6 Th 3.41
In: 0.0979 0.0979 0.0979  3 Ge 3.02, 1 Th 3.26
In: 0.9021 0.9021 0.9021  3 Ge 3.02, 1 Th 3.26
Ge: 0.5000 0.5000 0.5000  6 In 3.02

Output
Total magnetization   0.00 μB per formula unit
E_tot   -4.14 eV/atom
Distance to the lowest polymorph of the same formula   620 meV per atom

***

Record 9
An optimized crystal structure of GaH2O2. Source: Alexandria via LeMat-Bulk, functional PBE.

Cell: 3.6979 3.6979 3.6979 Å, 122.43 122.43 85.84°
Closest atoms and distances in Å follow each position.
Positions (direct):
Ga: 0.0000 0.0000 0.0000  8 O 2.24, 2 H 2.34
H: 0.4314 0.4314 0.0000  1 H 0.74
H: 0.5686 0.5686 0.0000  1 H 0.74
O: 0.2500 0.7500 0.5000  4 H 2.03, 4 Ga 2.24
O: 0.7500 0.2500 0.5000  4 H 2.03, 4 Ga 2.24

Output
Total magnetization   1.00 μB per formula unit
E_tot   -4.05 eV/atom
Distance to the lowest polymorph of the same formula   778 meV per atom

***

Record 10
An optimized crystal structure of Tb2PrPuO8. Source: Alexandria via LeMat-Bulk, functional PBE.

Cell: 5.1499 7.1361 5.1564 Å, 90.00 90.11 90.00°
Closest atoms and distances in Å follow each position.
Positions (direct):
Tb: 0.0000 0.2433 0.0000  4 O 2.19-2.31
Tb: 0.0000 0.7567 0.0000  4 O 2.19-2.31
Pr: 0.5000 0.0000 0.5000  6 O 2.31-2.45
Pu: 0.5000 0.5000 0.5000  6 O 2.01-2.04
O: 0.1823 0.0000 0.1841  2 Tb 2.19, 1 Pr 2.31
O: 0.2236 0.5000 0.2252  1 Pu 2.01
O: 0.3147 0.2866 0.6866  1 Pu 2.04
O: 0.3147 0.7134 0.6866  1 Pu 2.04
O: 0.6853 0.2866 0.3134  1 Pu 2.04
O: 0.6853 0.7134 0.3134  1 Pu 2.04
O: 0.7764 0.5000 0.7748  1 Pu 2.01
O: 0.8177 0.0000 0.8159  2 Tb 2.19, 1 Pr 2.31

Output
Total magnetization   1.02 μB per formula unit
E_tot   -8.70 eV/atom
Raw formation energy   -3034.0 meV per atom

***

Record 11
An optimized crystal structure of Nd7Sm4Pu. Source: Alexandria via LeMat-Bulk, functional PBE.

Cell: 6.3283 6.3283 13.6127 Å, 105.16 105.16 52.38°
Closest atoms and distances in Å follow each position.
Positions (direct):
Nd: 0.0000 0.0000 0.0000  2 Pu 2.79, 2 Nd 3.12
Nd: 0.1413 0.1413 0.4737  6 Sm 3.43-3.81, 4 Nd 3.49-3.72
Nd: 0.2839 0.2839 0.1019  1 Nd 3.12, 1 Pu 3.15
Nd: 0.3321 0.3321 0.7470  1 Pu 3.42, 4 Sm 3.51-3.73, 1 Nd 3.72
Nd: 0.6679 0.6679 0.2530  1 Pu 3.42, 4 Sm 3.51-3.73, 1 Nd 3.72
Nd: 0.7161 0.7161 0.8981  1 Nd 3.12, 1 Pu 3.15
Nd: 0.8587 0.8587 0.5263  6 Sm 3.43-3.81, 4 Nd 3.49-3.72
Sm: 0.0358 0.0358 0.7777  3 Nd 3.17-3.51
Sm: 0.4099 0.4099 0.3708  3 Sm 3.52-3.61, 9 Nd 3.52-3.92
Sm: 0.5901 0.5901 0.6292  3 Sm 3.52-3.61, 9 Nd 3.52-3.92
Sm: 0.9642 0.9642 0.2223  3 Nd 3.17-3.51
Pu: 0.5000 0.5000 0.0000  2 Nd 2.79

Output
Total magnetization   6.15 μB per formula unit
E_tot   -5.34 eV/atom

***

Record 12
An optimized crystal structure of MgSc2Co2. Source: Alexandria via LeMat-Bulk, functional PBE.

Cell: 8.0282 8.0282 8.0282 Å, 154.77 154.77 35.98°
Closest atoms and distances in Å follow each position.
Positions (direct):
Mg: 0.0000 0.0000 0.0000  8 Sc 3.13
Sc: 0.3751 0.3751 0.0000  4 Co 2.59
Sc: 0.6249 0.6249 0.0000  4 Co 2.59
Co: 0.2500 0.7500 0.5000  4 Co 2.48, 4 Sc 2.59
Co: 0.7500 0.2500 0.5000  4 Co 2.48, 4 Sc 2.59

Output
Total magnetization   1.57 μB per formula unit
E_tot   -5.60 eV/atom

***

Which of these has the lowest E_tot?
Tb2PrPuO8

***

Look up the total magnetization of the ninth one.
1.00 μB per formula unit

***

Which value of total magnetization does entry 1 give?
0.96 μB per formula unit